The following is a DFT calculation (GGA-PBE) of a geometry-optimized Nd4In2O structure.

a = 3.560 Å, b = 5.165 Å, c = 12.121 Å
α = 102.30°, β = 90.00°, γ = 90.00°
Fractional coordinates of all 7 atoms:
Nd 0.500 0.569 0.139
Nd 0.000 0.703 0.405
Nd 0.500 0.431 0.861
Nd 0.000 0.297 0.595
In 0.500 0.160 0.320
In 0.500 0.840 0.680
O 0.000 0.500 0.000

Properties
Fermi-level density of states in states/eV per cell: 5.01
Uncorrected formation energy in eV per atom: -0.796
Energy above the most stable polymorph in this dataset in eV per atom: 0.253

=====

The following is a DFT calculation (GGA-PBE) of a geometry-optimized NdInO3 structure.

a = 5.683 Å, b = 5.981 Å, c = 8.293 Å
α = 90.00°, β = 90.00°, γ = 90.00°
Fractional coordinates of all 20 atoms:
Nd 0.979 0.062 0.250
Nd 0.479 0.438 0.750
Nd 0.521 0.562 0.250
Nd 0.021 0.938 0.750
In 0.500 0.000 0.000
In 0.500 0.000 0.500
In 0.000 0.500 0.000
In 0.000 0.500 0.500
O 0.628 0.055 0.750
O 0.193 0.196 0.567
O 0.193 0.196 0.933
O 0.693 0.304 0.067
O 0.693 0.304 0.433
O 0.128 0.445 0.250
O 0.872 0.555 0.750
O 0.307 0.696 0.933
O 0.307 0.696 0.567
O 0.807 0.804 0.067
O 0.807 0.804 0.433
O 0.372 0.945 0.250

Properties
Fermi-level density of states in states/eV per cell: 0.00
Uncorrected formation energy in eV per atom: -2.459

=====

The following is a DFT calculation (GGA-PBE) of a geometry-optimized Nd2InO structure.

a = 3.718 Å, b = 3.718 Å, c = 8.207 Å
α = 76.91°, β = 76.91°, γ = 60.00°
Fractional coordinates of all 4 atoms:
Nd 0.276 0.276 0.172
Nd 0.724 0.724 0.828
O 0.000 0.000 0.000
In 0.500 0.500 0.500

Properties
Fermi-level density of states in states/eV per cell: 1.23
Uncorrected formation energy in eV per atom: -1.525
Energy above the most stable polymorph in this dataset in eV per atom: 0.044

=====

The following is a DFT calculation (GGA-PBE) of a geometry-optimized NdInO3 structure.

a = 5.825 Å, b = 5.825 Å, c = 6.122 Å
α = 61.59°, β = 61.59°, γ = 60.00°
Fractional coordinates of all 10 atoms:
Nd 0.366 0.366 0.903
Nd 0.634 0.634 0.097
In 0.852 0.852 0.445
In 0.148 0.148 0.555
O 0.776 0.448 0.741
O 0.034 0.776 0.741
O 0.448 0.034 0.741
O 0.224 0.552 0.259
O 0.966 0.224 0.259
O 0.552 0.966 0.259

Properties
Fermi-level density of states in states/eV per cell: 0.00
Uncorrected formation energy in eV per atom: -2.401